Entry 1:
{"formula": "Mg2AgRu", "functional": "PBE", "state": "optimized geometry", "cell": [[1.477, 0.853, 9.006], [-1.477, 0.853, 9.006], [0.000, -1.706, 9.006]], "species": ["Mg", "Mg", "Ag", "Ru"], "frac_coords": [[0.245, 0.245, 0.245], [0.755, 0.755, 0.755], [0.000, 0.000, 0.000], [0.500, 0.500, 0.500]], "n_ef_per_ev_atom": 0.4333, "crystal_system": "trigonal"}



Entry 2:
{"formula": "MoIr2", "functional": "PBE", "state": "optimized geometry", "cell": [[0.000, 3.614, 3.614], [3.614, 0.000, 3.614], [3.614, 3.614, 0.000]], "species": ["Mo", "Mo", "Ir", "Ir", "Ir", "Ir"], "frac_coords": [[0.125, 0.125, 0.125], [0.875, 0.875, 0.875], [0.000, 0.500, 0.500], [0.500, 0.000, 0.500], [0.500, 0.500, 0.000], [0.500, 0.500, 0.500]], "n_ef_per_ev_atom": 1.5436, "crystal_system": "cubic"}



Entry 3:
{"formula": "Tl6InPb3", "functional": "PBE", "state": "optimized geometry", "cell": [[6.173, 0.000, 0.000], [-3.086, 5.346, 0.000], [0.000, 0.000, 9.887]], "species": ["Tl", "Tl", "Tl", "Tl", "Tl", "Tl", "In", "Pb", "Pb", "Pb"], "frac_coords": [[0.000, 0.367, 0.290], [0.000, 0.633, 0.710], [0.367, 0.000, 0.290], [0.367, 0.367, 0.710], [0.633, 0.000, 0.710], [0.633, 0.633, 0.290], [0.000, 0.000, 0.500], [0.000, 0.000, 0.000], [0.333, 0.667, 0.000], [0.667, 0.333, 0.000]], "n_ef_per_ev_atom": 0.3574, "crystal_system": "trigonal", "de_polymorph_mev_per_atom": 32}



Entry 4:
{"formula": "CsIn2As", "functional": "PBE", "state": "optimized geometry", "cell": [[-4.529, 4.529, 3.608], [4.529, -4.529, 3.608], [4.529, 4.529, -3.608]], "species": ["Cs", "Cs", "In", "In", "In", "In", "As", "As"], "frac_coords": [[0.000, 0.000, 0.000], [0.750, 0.250, 0.500], [0.208, 0.625, 0.083], [0.375, 0.458, 0.583], [0.542, 0.125, 0.917], [0.875, 0.792, 0.417], [0.250, 0.750, 0.500], [0.500, 0.500, 0.000]], "n_ef_per_ev_atom": 0.0411, "crystal_system": "tetragonal"}



| no. | total moment (μB per cell) | E (eV per atom) | calculated formation energy (eV per atom) |
| --- | --- | --- | --- |
| 1 | 0.00 | -3.810 | 0.019 |
| 2 | 0.00 | -9.293 | 0.225 |
| 3 | 0.00 | -2.753 | 0.054 |
| 4 | 0.00 | -2.824 | -0.079 |